Density functional theory data (PBE) for CdCu2PbO after structural relaxation.

The volume is 27.851 A^3/atom. The energy relative to the elements, uncorrected is 1.057 eV per atom.

The structure belongs to space group P4/mmm (No. 123); the cell edges are 4.959, 4.959 and 5.662 Å and the angles 90.00°, 90.00° and 90.00°. The inequivalent atoms are Cd at (0.000, 0.000, 0.000), Cu at (0.000, 0.500, 0.500), Pb at (0.000, 0.000, 0.500) and O at (0.500, 0.500, 0.000).



Density functional theory data (PBE) for Zr2Tc after structural relaxation.

The calculation puts the energy above the most stable polymorph in this dataset at 286.7 meV/atom. The volume is 19.589 A^3/atom. The energy of formation from the pure elements is 12 meV per atom.

The structure belongs to space group I4_1/amd (No. 141, origin choice 2); the cell edges are 3.955, 3.955 and 30.059 Å and the angles 90.00°, 90.00° and 90.00°. The inequivalent atoms are Zr at (0.000, 0.250, 0.123), Zr at (0.000, 0.250, 0.790) and Tc at (0.000, 0.250, 0.293).



Density functional theory data (PBE) for MgNpPb2 after structural relaxation.

The volume is 26.562 A^3/atom. The energy of formation from the pure elements is 77 meV per atom.

The structure belongs to space group P4/mmm (No. 123); the cell edges are 4.889, 4.889 and 4.445 Å and the angles 90.00°, 90.00° and 90.00°. The inequivalent atoms are Mg at (0.000, 0.000, 0.000), Np at (0.500, 0.500, 0.000) and Pb at (0.000, 0.500, 0.500).



Density functional theory data (PBE) for Sr2TaTe after structural relaxation.

The calculation puts the energy above the most stable polymorph in this dataset at 208.6 meV/atom. The volume is 32.153 A^3/atom. The energy relative to the elements, uncorrected is 0.260 eV per atom.

The structure belongs to space group Cmmm (No. 65); the cell edges are 7.819, 7.836 and 4.198 Å and the angles 90.00°, 90.00° and 90.00°. The inequivalent atoms are Sr at (0.250, 0.250, 0.000), Ta at (0.000, 0.000, 0.500) and Te at (0.000, 0.500, 0.500).



Density functional theory data (PBE) for KP2PdS after structural relaxation.

The calculation puts the energy above the most stable polymorph in this dataset at 1758.3 meV/atom. The volume is 28.282 A^3/atom. The energy relative to the elements, uncorrected is 1.990 eV per atom.

The structure belongs to space group P4/mmm (No. 123); the cell edges are 5.205, 5.205 and 5.220 Å and the angles 90.00°, 90.00° and 90.00°. The inequivalent atoms are K at (0.000, 0.000, 0.000), P at (0.000, 0.500, 0.000), Pd at (0.500, 0.500, 0.500) and S at (0.000, 0.000, 0.500).



Density functional theory data (PBE) for GdHo3C after structural relaxation.

The volume is 25.457 A^3/atom. The energy of formation from the pure elements is -21 meV per atom.

The structure belongs to space group Pm-3m (No. 221); the cell edges are 5.030, 5.030 and 5.030 Å and the angles 90.00°, 90.00° and 90.00°. The inequivalent atoms are Gd at (0.000, 0.000, 0.000), Ho at (0.000, 0.500, 0.500) and C at (0.500, 0.500, 0.500).



Density functional theory data (PBE) for ThGa2Ni2Os after structural relaxation.

The volume is 19.636 A^3/atom. The energy of formation from the pure elements is 33 meV per atom.

The structure belongs to space group P4/mmm (No. 123); the cell edges are 4.708, 4.708 and 5.314 Å and the angles 90.00°, 90.00° and 90.00°. The inequivalent atoms are Th at (0.000, 0.000, 0.000), Ga at (0.000, 0.500, 0.500), Ni at (0.500, 0.500, 0.240) and Os at (0.000, 0.000, 0.500).



Density functional theory data (PBE) for Ac3PrPa2N6 after structural relaxation.

The volume is 18.149 A^3/atom. The energy relative to the elements, uncorrected is -1.366 eV per atom.

The structure belongs to space group C2/m (No. 12); the cell edges are 16.313, 3.684 and 7.509 Å and the angles 90.00°, 105.14° and 90.00°. The inequivalent atoms are Ac at (0.000, 0.000, 0.000), Ac at (0.167, 0.500, 0.336), Pr at (0.000, 0.000, 0.500), Pa at (0.167, 0.500, 0.830), N at (0.023, 0.500, 0.754), N at (0.164, 0.000, 0.626) and N at (0.179, 0.000, 0.047).



Density functional theory data (PBE) for Li7Cd4Rh after structural relaxation.

The volume is 17.501 A^3/atom. The energy of formation from the pure elements is -87 meV per atom.

The structure belongs to space group C2/m (No. 12); the cell edges are 13.644, 4.763 and 7.250 Å and the angles 90.00°, 116.95° and 90.00°. The inequivalent atoms are Li at (0.000, 0.000, 0.000), Li at (0.064, 0.500, 0.396), Li at (0.196, 0.500, 0.192), Li at (0.206, 0.500, 0.841), Cd at (0.082, 0.000, 0.741), Cd at (0.169, 0.000, 0.394) and Rh at (0.000, 0.500, 0.000).



Density functional theory data (PBE) for AcDySi after structural relaxation.

The calculation puts the energy above the most stable polymorph in this dataset at 0.0 meV/atom. The volume is 29.085 A^3/atom. The energy relative to the elements, uncorrected is -0.476 eV per atom.

The structure belongs to space group Pnma (No. 62); the cell edges are 8.310, 4.646 and 9.040 Å and the angles 90.00°, 90.00° and 90.00°. The inequivalent atoms are Ac at (0.019, 0.250, 0.169), Dy at (0.142, 0.250, 0.562) and Si at (0.219, 0.750, 0.374).



Density functional theory data (PBE) for SrNi2Te after structural relaxation.

The calculation puts the energy above the most stable polymorph in this dataset at 15.2 meV/atom. The volume is 21.580 A^3/atom. The energy relative to the elements, uncorrected is -0.361 eV per atom.

The structure belongs to space group R-3m (No. 166, hexagonal axes); the cell edges are 4.3595, 4.3595 and 15.7296 Å and the angles 90.00°, 90.00° and 120.00°. The inequivalent atoms are Sr at (0.0000, 0.0000, 0.0000), Ni at (0.0000, 0.0000, 0.1917) and Te at (0.0000, 0.0000, 0.5000).



Density functional theory data (PBE) for Sc2Ga2As after structural relaxation.

The calculation puts the energy above the most stable polymorph in this dataset at 19.8 meV/atom. The volume is 19.410 A^3/atom. The energy of formation from the pure elements is -558 meV per atom.

The structure belongs to space group P4/mbm (No. 127); the cell edges are 6.937, 6.937 and 4.034 Å and the angles 90.00°, 90.00° and 90.00°. The inequivalent atoms are Sc at (0.172, 0.328, 0.000), Ga at (0.128, 0.628, 0.500) and As at (0.000, 0.000, 0.500).